The following is a GGA+U calculation of SrCo4Cu3O12 after structural relaxation, from Alexandria via LeMat-Bulk.

Computed properties:
- DOS at the Fermi energy: 9.14 states/eV/f.u.
- VASP energy: -5.63 eV/atom
- Total moment: 0.343 μB/atom

Cell: 7.295 7.295 7.295 Å, 90.00 90.00 90.00°
Space group Im-3 (No. 204)
Symmetry-distinct sites (fractional):
Sr 0.000 0.000 0.000 (multiplicity 2)
Co 0.250 0.250 0.250 (multiplicity 8)
Cu 0.000 0.000 0.500 (multiplicity 6)
O 0.000 0.177 0.313 (multiplicity 24)